Record 1
Entry from OQMD: crystalline Rb5CuSe3 at its relaxed geometry (PBE).

Structure (POSCAR):
```
Rb5CuSe3
1.0
8.984 0.000 0.000
-4.492 7.780 0.000
0.000 0.000 4.627
Rb Cu Se
5 1 3
direct
0.000 0.260 0.000 Rb
0.260 0.000 0.000 Rb
0.333 0.667 0.000 Rb
0.667 0.333 0.000 Rb
0.740 0.740 0.000 Rb
0.000 0.000 0.500 Cu
0.000 0.713 0.500 Se
0.287 0.287 0.500 Se
0.713 0.000 0.500 Se
```

Results
Its final energy is -25.5 eV/f.u.

=====

Record 2
Entry from OQMD: crystalline RbCuSe4 at its relaxed geometry (PBE).

Structure (POSCAR):
```
RbCuSe4
1.0
5.561 0.000 0.000
0.000 8.942 0.000
0.000 0.000 13.576
Rb Cu Se
4 4 16
direct
0.179 0.059 0.337 Rb
0.321 0.941 0.837 Rb
0.679 0.441 0.663 Rb
0.821 0.559 0.163 Rb
0.030 0.138 0.067 Cu
0.470 0.862 0.567 Cu
0.530 0.362 0.933 Cu
0.970 0.638 0.433 Cu
0.086 0.584 0.930 Se
0.140 0.692 0.596 Se
0.157 0.359 0.832 Se
0.163 0.883 0.101 Se
0.337 0.117 0.601 Se
0.343 0.641 0.332 Se
0.360 0.308 0.096 Se
0.414 0.416 0.430 Se
0.586 0.916 0.070 Se
0.640 0.808 0.404 Se
0.657 0.141 0.168 Se
0.663 0.617 0.899 Se
0.837 0.383 0.399 Se
0.843 0.859 0.668 Se
0.860 0.192 0.904 Se
0.914 0.084 0.570 Se
```

Results
Its final energy is -21.1 eV/f.u.

=====

Record 3
Entry from OQMD: crystalline Rb2Cu3Se4 at its relaxed geometry (PBE).

Structure (POSCAR):
```
Rb2Cu3Se4
1.0
0.000 5.442 14.362
3.075 0.000 14.362
3.075 5.442 0.000
Rb Cu Se
4 6 8
direct
0.045 0.045 0.205 Rb
0.205 0.205 0.045 Rb
0.795 0.795 0.955 Rb
0.955 0.955 0.795 Rb
0.125 0.125 0.625 Cu
0.375 0.375 0.375 Cu
0.375 0.375 0.875 Cu
0.625 0.625 0.125 Cu
0.625 0.625 0.625 Cu
0.875 0.875 0.375 Cu
0.153 0.481 0.264 Se
0.264 0.603 0.153 Se
0.397 0.736 0.519 Se
0.481 0.153 0.603 Se
0.519 0.847 0.397 Se
0.603 0.264 0.481 Se
0.736 0.397 0.847 Se
0.847 0.519 0.736 Se
```

Results
Its final energy is -31.1 eV/f.u.

=====

Record 4
Entry from OQMD: crystalline RbCuSe2 at its relaxed geometry (PBE).

Structure (POSCAR):
```
RbCuSe2
1.0
0.000 6.702 10.884
2.981 0.000 10.884
2.981 6.702 0.000
Rb Cu Se
4 4 8
direct
0.066 0.066 0.684 Rb
0.316 0.316 0.934 Rb
0.684 0.684 0.066 Rb
0.934 0.934 0.316 Rb
0.125 0.125 0.125 Cu
0.375 0.375 0.375 Cu
0.625 0.625 0.625 Cu
0.875 0.875 0.875 Cu
0.027 0.357 0.406 Se
0.289 0.594 0.643 Se
0.357 0.027 0.711 Se
0.406 0.711 0.027 Se
0.594 0.289 0.973 Se
0.643 0.973 0.289 Se
0.711 0.406 0.357 Se
0.973 0.643 0.594 Se
```

Results
Its final energy is -13.5 eV/f.u.

=====

Record 5
Entry from OQMD: crystalline RbCuSiSe3 at its relaxed geometry (PBE).

Structure (POSCAR):
```
RbCuSiSe3
1.0
8.975 0.000 0.000
0.000 3.821 0.000
-3.827 0.000 8.750
Rb Cu Si Se
2 2 2 6
direct
0.217 0.250 0.266 Rb
0.783 0.750 0.734 Rb
0.063 0.250 0.586 Cu
0.937 0.750 0.414 Cu
0.335 0.750 0.859 Si
0.665 0.250 0.141 Si
0.149 0.250 0.864 Se
0.233 0.750 0.576 Se
0.470 0.750 0.138 Se
0.530 0.250 0.862 Se
0.767 0.250 0.424 Se
0.851 0.750 0.136 Se
```

Results
Its final energy is -23.7 eV/f.u. The calculation puts the energy above the most stable polymorph in this dataset at 0.000 eV per atom.

=====

Record 6
Entry from OQMD: crystalline RbCuSiSe3 at its relaxed geometry (PBE).

Structure (POSCAR):
```
RbCuSiSe3
1.0
1.821 -7.733 0.000
1.821 7.733 0.000
0.000 0.000 10.290
Rb Cu Si Se
2 2 2 6
direct
0.243 0.757 0.750 Rb
0.757 0.243 0.250 Rb
0.055 0.945 0.250 Cu
0.945 0.055 0.750 Cu
0.500 0.500 0.000 Si
0.500 0.500 0.500 Si
0.113 0.887 0.036 Se
0.113 0.887 0.464 Se
0.451 0.549 0.250 Se
0.549 0.451 0.750 Se
0.887 0.113 0.536 Se
0.887 0.113 0.964 Se
```

Results
Its final energy is -23.1 eV/f.u. The calculation puts the energy above the most stable polymorph in this dataset at 0.090 eV per atom.

=====

Record 7
Entry from OQMD: crystalline Rb2Sm4Cu4Se9 at its relaxed geometry (PBE).

Structure (POSCAR):
```
Rb2Sm4Cu4Se9
1.0
7.312 -2.092 0.000
7.312 2.092 0.000
-5.465 0.000 15.941
Rb Sm Cu Se
2 4 4 9
direct
0.030 0.030 0.271 Rb
0.970 0.970 0.729 Rb
0.230 0.230 0.102 Sm
0.345 0.345 0.444 Sm
0.655 0.655 0.556 Sm
0.770 0.770 0.898 Sm
0.244 0.244 0.729 Cu
0.425 0.425 0.029 Cu
0.575 0.575 0.971 Cu
0.756 0.756 0.271 Cu
0.000 0.000 0.500 Se
0.134 0.134 0.923 Se
0.301 0.301 0.605 Se
0.348 0.348 0.276 Se
0.396 0.396 0.872 Se
0.604 0.604 0.128 Se
0.652 0.652 0.724 Se
0.699 0.699 0.395 Se
0.866 0.866 0.077 Se
```

Results
As for the total magnetic moment: 0.0 μB/f.u. Its final energy is -91.5 eV/f.u.

=====

Record 8
Entry from OQMD: crystalline RbCuSnTe2Se at its relaxed geometry (PBE).

Structure (POSCAR):
```
RbCuSnTe2Se
1.0
2.039 -7.992 0.000
2.039 7.992 0.000
0.000 0.000 11.409
Rb Cu Sn Te Se
2 2 2 4 2
direct
0.224 0.776 0.750 Rb
0.776 0.224 0.250 Rb
0.049 0.951 0.250 Cu
0.951 0.049 0.750 Cu
0.500 0.500 0.000 Sn
0.500 0.500 0.500 Sn
0.132 0.868 0.050 Te
0.132 0.868 0.450 Te
0.868 0.132 0.550 Te
0.868 0.132 0.950 Te
0.460 0.540 0.250 Se
0.540 0.460 0.750 Se
```

Results
Its final energy is -20.9 eV/f.u.

=====

Record 9
Entry from OQMD: crystalline RbTbCu3Se4 at its relaxed geometry (PBE).

Structure (POSCAR):
```
RbTbCu3Se4
1.0
6.059 0.000 0.000
0.000 7.533 0.000
-2.483 0.000 10.078
Rb Tb Cu Se
2 2 6 8
direct
0.216 0.250 0.408 Rb
0.784 0.750 0.592 Rb
0.105 0.250 0.815 Tb
0.895 0.750 0.185 Tb
0.308 0.570 0.019 Cu
0.308 0.930 0.019 Cu
0.420 0.750 0.250 Cu
0.580 0.250 0.750 Cu
0.692 0.070 0.981 Cu
0.692 0.430 0.981 Cu
0.023 0.250 0.066 Se
0.218 0.750 0.416 Se
0.401 0.521 0.793 Se
0.401 0.979 0.793 Se
0.599 0.021 0.207 Se
0.599 0.479 0.207 Se
0.782 0.250 0.584 Se
0.977 0.750 0.934 Se
```

Results
As for the total magnetic moment: 0.0 μB/f.u. Its final energy is -37.4 eV/f.u. The calculation puts the energy above the most stable polymorph in this dataset at 0.000 eV per atom.

=====

Record 10
Entry from OQMD: crystalline RbTb2CuSe4 at its relaxed geometry (PBE).

Structure (POSCAR):
```
RbTb2CuSe4
1.0
2.074 -7.168 0.000
2.074 7.168 0.000
0.000 0.000 14.444
Rb Tb Cu Se
2 4 2 8
direct
0.109 0.891 0.750 Rb
0.891 0.109 0.250 Rb
0.366 0.634 0.564 Tb
0.366 0.634 0.936 Tb
0.634 0.366 0.064 Tb
0.634 0.366 0.436 Tb
0.163 0.837 0.250 Cu
0.837 0.163 0.750 Cu
0.000 0.000 0.000 Se
0.000 0.000 0.500 Se
0.262 0.738 0.110 Se
0.262 0.738 0.390 Se
0.430 0.570 0.750 Se
0.570 0.430 0.250 Se
0.738 0.262 0.610 Se
0.738 0.262 0.890 Se
```

Results
As for the total magnetic moment: 0.0 μB/f.u. Its final energy is -40.0 eV/f.u.

=====

Record 11
Entry from OQMD: crystalline RbTbCu3Se4 at its relaxed geometry (PBE).

Structure (POSCAR):
```
RbTbCu3Se4
1.0
6.458 0.000 0.000
0.000 6.458 0.000
0.000 0.000 6.458
Rb Tb Cu Se
1 1 3 4
direct
0.000 0.000 0.000 Rb
0.500 0.500 0.500 Tb
0.000 0.500 0.500 Cu
0.500 0.000 0.500 Cu
0.500 0.500 0.000 Cu
0.268 0.268 0.268 Se
0.268 0.732 0.732 Se
0.732 0.268 0.732 Se
0.732 0.732 0.268 Se
```

Results
As for the total magnetic moment: 0.8 μB/f.u. Its final energy is -35.0 eV/f.u. The calculation puts the energy above the most stable polymorph in this dataset at 0.258 eV per atom.

=====

Record 12
Entry from OQMD: crystalline RbTb2Cu3Te4Se at its relaxed geometry (PBE).

Structure (POSCAR):
```
RbTb2Cu3Te4Se
1.0
2.163 -7.698 0.000
2.163 7.698 0.000
0.000 0.000 17.881
Rb Tb Cu Te Se
2 4 6 8 2
direct
0.069 0.931 0.750 Rb
0.931 0.069 0.250 Rb
0.194 0.806 0.098 Tb
0.194 0.806 0.402 Tb
0.806 0.194 0.598 Tb
0.806 0.194 0.902 Tb
0.334 0.666 0.750 Cu
0.415 0.585 0.020 Cu
0.415 0.585 0.480 Cu
0.585 0.415 0.520 Cu
0.585 0.415 0.980 Cu
0.666 0.334 0.250 Cu
0.162 0.838 0.572 Te
0.162 0.838 0.928 Te
0.445 0.555 0.624 Te
0.445 0.555 0.876 Te
0.555 0.445 0.124 Te
0.555 0.445 0.376 Te
0.838 0.162 0.072 Te
0.838 0.162 0.428 Te
0.245 0.755 0.250 Se
0.755 0.245 0.750 Se
```

Results
As for the total magnetic moment: 0.0 μB/f.u. Its final energy is -47.3 eV/f.u.

=====

Repeat the tenth record exactly.
Entry from OQMD: crystalline RbTb2CuSe4 at its relaxed geometry (PBE).

Structure (POSCAR):
```
RbTb2CuSe4
1.0
2.074 -7.168 0.000
2.074 7.168 0.000
0.000 0.000 14.444
Rb Tb Cu Se
2 4 2 8
direct
0.109 0.891 0.750 Rb
0.891 0.109 0.250 Rb
0.366 0.634 0.564 Tb
0.366 0.634 0.936 Tb
0.634 0.366 0.064 Tb
0.634 0.366 0.436 Tb
0.163 0.837 0.250 Cu
0.837 0.163 0.750 Cu
0.000 0.000 0.000 Se
0.000 0.000 0.500 Se
0.262 0.738 0.110 Se
0.262 0.738 0.390 Se
0.430 0.570 0.750 Se
0.570 0.430 0.250 Se
0.738 0.262 0.610 Se
0.738 0.262 0.890 Se
```

Results
As for the total magnetic moment: 0.0 μB/f.u. Its final energy is -40.0 eV/f.u.

=====

Q: Which of these has the lowest final energy?
A: Rb2Sm4Cu4Se9

=====

Repeat the twelfth record exactly.
Entry from OQMD: crystalline RbTb2Cu3Te4Se at its relaxed geometry (PBE).

Structure (POSCAR):
```
RbTb2Cu3Te4Se
1.0
2.163 -7.698 0.000
2.163 7.698 0.000
0.000 0.000 17.881
Rb Tb Cu Te Se
2 4 6 8 2
direct
0.069 0.931 0.750 Rb
0.931 0.069 0.250 Rb
0.194 0.806 0.098 Tb
0.194 0.806 0.402 Tb
0.806 0.194 0.598 Tb
0.806 0.194 0.902 Tb
0.334 0.666 0.750 Cu
0.415 0.585 0.020 Cu
0.415 0.585 0.480 Cu
0.585 0.415 0.520 Cu
0.585 0.415 0.980 Cu
0.666 0.334 0.250 Cu
0.162 0.838 0.572 Te
0.162 0.838 0.928 Te
0.445 0.555 0.624 Te
0.445 0.555 0.876 Te
0.555 0.445 0.124 Te
0.555 0.445 0.376 Te
0.838 0.162 0.072 Te
0.838 0.162 0.428 Te
0.245 0.755 0.250 Se
0.755 0.245 0.750 Se
```

Results
As for the total magnetic moment: 0.0 μB/f.u. Its final energy is -47.3 eV/f.u.

=====

Q: Which value of final energy does entry 11 give?
A: -35.0 eV/f.u.